1.
# CePuThPt (GGA-PBE, relaxed)
data_CePuThPt
_chemical_formula_sum 'Ce1 Pu1 Th1 Pt1'
_cell_length_a 5.115
_cell_length_b 5.115
_cell_length_c 5.115
_cell_angle_alpha 60.00
_cell_angle_beta 60.00
_cell_angle_gamma 60.00
_symmetry_space_group_name_H-M 'P 1'
_symmetry_Int_Tables_number 1
_symmetry_space_group_name_Hall 'P 1'
loop_
_atom_site_label
_atom_site_type_symbol
_atom_site_fract_x
_atom_site_fract_y
_atom_site_fract_z
Ce1 Ce 0.000 0.000 0.000
Pu1 Pu 0.250 0.250 0.250
Th1 Th 0.750 0.750 0.750
Pt1 Pt 0.500 0.500 0.500
# **Symmetry**: No. 216
# **Final energy**: -35.196 eV/cell
# **M_tot**: 6.76 Bohr magnetons per cell


2.
# ZrSc2Hg (GGA-PBE, relaxed)
data_ZrSc2Hg
_chemical_formula_sum 'Zr1 Sc2 Hg1'
_cell_length_a 5.063
_cell_length_b 5.063
_cell_length_c 3.478
_cell_angle_alpha 90.00
_cell_angle_beta 90.00
_cell_angle_gamma 90.00
_symmetry_space_group_name_H-M 'P 1'
_symmetry_Int_Tables_number 1
_symmetry_space_group_name_Hall 'P 1'
loop_
_atom_site_label
_atom_site_type_symbol
_atom_site_fract_x
_atom_site_fract_y
_atom_site_fract_z
Zr1 Zr 0.000 0.000 0.000
Sc1 Sc 0.000 0.500 0.500
Sc2 Sc 0.500 0.000 0.500
Hg1 Hg 0.500 0.500 0.000
# **Symmetry**: No. 123
# **Final energy**: -21.885 eV/cell
# **M_tot**: 0.01 Bohr magnetons per cell


3.
# La2HN (GGA-PBE, relaxed)
data_La2HN
_chemical_formula_sum 'La4 H2 N2'
_cell_length_a 6.147
_cell_length_b 6.147
_cell_length_c 6.147
_cell_angle_alpha 118.76
_cell_angle_beta 118.76
_cell_angle_gamma 92.15
_symmetry_space_group_name_H-M 'P 1'
_symmetry_Int_Tables_number 1
_symmetry_space_group_name_Hall 'P 1'
loop_
_atom_site_label
_atom_site_type_symbol
_atom_site_fract_x
_atom_site_fract_y
_atom_site_fract_z
La1 La 0.113 0.625 0.988
La2 La 0.375 0.363 0.488
La3 La 0.637 0.125 0.012
La4 La 0.875 0.887 0.512
H1 H 0.250 0.750 0.500
H2 H 0.500 0.500 0.000
N1 N 0.000 0.000 0.000
N2 N 0.750 0.250 0.500
# **Symmetry**: No. 122
# **Final energy**: -49.247 eV/cell
# **M_tot**: 0.00 Bohr magnetons per cell


4.
# Hg2PbSe (GGA-PBE, relaxed)
data_Hg2PbSe
_chemical_formula_sum 'Hg2 Pb1 Se1'
_cell_length_a 8.240
_cell_length_b 8.240
_cell_length_c 8.240
_cell_angle_alpha 30.80
_cell_angle_beta 30.80
_cell_angle_gamma 30.80
_symmetry_space_group_name_H-M 'P 1'
_symmetry_Int_Tables_number 1
_symmetry_space_group_name_Hall 'P 1'
loop_
_atom_site_label
_atom_site_type_symbol
_atom_site_fract_x
_atom_site_fract_y
_atom_site_fract_z
Hg1 Hg 0.000 0.000 0.000
Hg2 Hg 0.251 0.251 0.251
Pb1 Pb 0.764 0.764 0.764
Se1 Se 0.491 0.491 0.491
# **Symmetry**: No. 160
# **Final energy**: -8.545 eV/cell
# **M_tot**: 0.00 Bohr magnetons per cell


5.
# LiVSe3 (GGA-PBE, relaxed)
data_LiVSe3
_chemical_formula_sum 'Li2 V2 Se6'
_cell_length_a 10.724
_cell_length_b 10.724
_cell_length_c 10.724
_cell_angle_alpha 153.56
_cell_angle_beta 153.56
_cell_angle_gamma 37.74
_symmetry_space_group_name_H-M 'P 1'
_symmetry_Int_Tables_number 1
_symmetry_space_group_name_Hall 'P 1'
loop_
_atom_site_label
_atom_site_type_symbol
_atom_site_fract_x
_atom_site_fract_y
_atom_site_fract_z
Li1 Li 0.000 0.000 0.000
Li2 Li 0.750 0.250 0.500
V1 V 0.192 0.692 0.500
V2 V 0.308 0.808 0.500
Se1 Se 0.274 0.274 0.000
Se2 Se 0.377 0.110 0.266
Se3 Se 0.726 0.726 0.000
Se4 Se 0.844 0.110 0.734
Se5 Se 0.890 0.156 0.266
Se6 Se 0.890 0.623 0.734
# **Symmetry**: No. 119
# **Polymorph energy (0 for the lowest one)**: 0.586 eV/atom
# **M_tot**: 1.94 Bohr magnetons per cell


6.
# Sr3PRu (GGA-PBE, relaxed)
data_Sr3PRu
_chemical_formula_sum 'Sr3 P1 Ru1'
_cell_length_a 5.450
_cell_length_b 5.450
_cell_length_c 5.450
_cell_angle_alpha 90.00
_cell_angle_beta 90.00
_cell_angle_gamma 90.00
_symmetry_space_group_name_H-M 'P 1'
_symmetry_Int_Tables_number 1
_symmetry_space_group_name_Hall 'P 1'
loop_
_atom_site_label
_atom_site_type_symbol
_atom_site_fract_x
_atom_site_fract_y
_atom_site_fract_z
Sr1 Sr 0.000 0.000 0.500
Sr2 Sr 0.000 0.500 0.000
Sr3 Sr 0.500 0.000 0.000
P1 P 0.500 0.500 0.500
Ru1 Ru 0.000 0.000 0.000
# **Symmetry**: No. 221
# **Polymorph energy (0 for the lowest one)**: 0.000 eV/atom
# **M_tot**: 0.00 Bohr magnetons per cell


7.
# YTh3Tl3Te8 (GGA-PBE, relaxed)
data_YTh3Tl3Te8
_chemical_formula_sum 'Y1 Th3 Tl3 Te8'
_cell_length_a 9.911
_cell_length_b 9.911
_cell_length_c 9.911
_cell_angle_alpha 52.70
_cell_angle_beta 52.70
_cell_angle_gamma 52.70
_symmetry_space_group_name_H-M 'P 1'
_symmetry_Int_Tables_number 1
_symmetry_space_group_name_Hall 'P 1'
loop_
_atom_site_label
_atom_site_type_symbol
_atom_site_fract_x
_atom_site_fract_y
_atom_site_fract_z
Y1 Y 0.000 0.000 0.000
Th1 Th 0.000 0.500 0.500
Th2 Th 0.500 0.000 0.500
Th3 Th 0.500 0.500 0.000
Tl1 Tl 0.000 0.000 0.500
Tl2 Tl 0.000 0.500 0.000
Tl3 Tl 0.500 0.000 0.000
Te1 Te 0.238 0.238 0.743
Te2 Te 0.238 0.743 0.238
Te3 Te 0.257 0.762 0.762
Te4 Te 0.258 0.258 0.258
Te5 Te 0.742 0.742 0.742
Te6 Te 0.743 0.238 0.238
Te7 Te 0.762 0.257 0.762
Te8 Te 0.762 0.762 0.257
# **Symmetry**: No. 166
# **Final energy**: -75.374 eV/cell
# **M_tot**: 0.00 Bohr magnetons per cell


8.
# LiAgH2 (GGA-PBE, relaxed)
data_LiAgH2
_chemical_formula_sum 'Li1 Ag1 H2'
_cell_length_a 5.389
_cell_length_b 5.389
_cell_length_c 5.389
_cell_angle_alpha 33.61
_cell_angle_beta 33.61
_cell_angle_gamma 33.61
_symmetry_space_group_name_H-M 'P 1'
_symmetry_Int_Tables_number 1
_symmetry_space_group_name_Hall 'P 1'
loop_
_atom_site_label
_atom_site_type_symbol
_atom_site_fract_x
_atom_site_fract_y
_atom_site_fract_z
Li1 Li 0.000 0.000 0.000
Ag1 Ag 0.500 0.500 0.500
H1 H 0.388 0.388 0.388
H2 H 0.612 0.612 0.612
# **Symmetry**: No. 166
# **Polymorph energy (0 for the lowest one)**: 0.011 eV/atom
# **M_tot**: 0.00 Bohr magnetons per cell


9.
# Mg4Zn3 (GGA-PBE, relaxed)
data_Mg4Zn3
_chemical_formula_sum 'Mg4 Zn3'
_cell_length_a 5.209
_cell_length_b 5.209
_cell_length_c 5.608
_cell_angle_alpha 90.00
_cell_angle_beta 90.00
_cell_angle_gamma 120.00
_symmetry_space_group_name_H-M 'P 1'
_symmetry_Int_Tables_number 1
_symmetry_space_group_name_Hall 'P 1'
loop_
_atom_site_label
_atom_site_type_symbol
_atom_site_fract_x
_atom_site_fract_y
_atom_site_fract_z
Mg1 Mg 0.000 0.000 0.250
Mg2 Mg 0.000 0.000 0.750
Mg3 Mg 0.333 0.667 0.000
Mg4 Mg 0.667 0.333 0.000
Zn1 Zn 0.000 0.500 0.500
Zn2 Zn 0.500 0.000 0.500
Zn3 Zn 0.500 0.500 0.500
# **Symmetry**: No. 191
# **Polymorph energy (0 for the lowest one)**: 0.000 eV/atom
# **M_tot**: 0.00 Bohr magnetons per cell


10.
# YTa2MnC4 (GGA-PBE, relaxed)
data_YTa2MnC4
_chemical_formula_sum 'Y2 Ta4 Mn2 C8'
_cell_length_a 5.745
_cell_length_b 5.745
_cell_length_c 10.885
_cell_angle_alpha 90.00
_cell_angle_beta 90.00
_cell_angle_gamma 147.49
_symmetry_space_group_name_H-M 'P 1'
_symmetry_Int_Tables_number 1
_symmetry_space_group_name_Hall 'P 1'
loop_
_atom_site_label
_atom_site_type_symbol
_atom_site_fract_x
_atom_site_fract_y
_atom_site_fract_z
Y1 Y 0.101 0.899 0.750
Y2 Y 0.899 0.101 0.250
Ta1 Ta 0.370 0.630 0.543
Ta2 Ta 0.370 0.630 0.957
Ta3 Ta 0.630 0.370 0.043
Ta4 Ta 0.630 0.370 0.457
Mn1 Mn 0.165 0.835 0.250
Mn2 Mn 0.835 0.165 0.750
C1 C 0.000 0.000 0.000
C2 C 0.000 0.000 0.500
C3 C 0.265 0.735 0.117
C4 C 0.265 0.735 0.383
C5 C 0.425 0.575 0.750
C6 C 0.575 0.425 0.250
C7 C 0.735 0.265 0.617
C8 C 0.735 0.265 0.883
# **Symmetry**: No. 63
# **Final energy**: -158.312 eV/cell
# **M_tot**: 0.00 Bohr magnetons per cell


11.
# Ac5Rh2O12 (GGA-PBE, relaxed)
data_Ac5Rh2O12
_chemical_formula_sum 'Ac5 Rh2 O12'
_cell_length_a 7.372
_cell_length_b 7.372
_cell_length_c 8.008
_cell_angle_alpha 105.46
_cell_angle_beta 105.46
_cell_angle_gamma 50.62
_symmetry_space_group_name_H-M 'P 1'
_symmetry_Int_Tables_number 1
_symmetry_space_group_name_Hall 'P 1'
loop_
_atom_site_label
_atom_site_type_symbol
_atom_site_fract_x
_atom_site_fract_y
_atom_site_fract_z
Ac1 Ac 0.000 0.000 0.000
Ac2 Ac 0.308 0.308 0.664
Ac3 Ac 0.311 0.311 0.146
Ac4 Ac 0.689 0.689 0.854
Ac5 Ac 0.692 0.692 0.336
Rh1 Rh 0.244 0.756 0.500
Rh2 Rh 0.756 0.244 0.500
O1 O 0.000 0.000 0.337
O2 O 0.000 0.000 0.663
O3 O 0.094 0.598 0.921
O4 O 0.103 0.584 0.423
O5 O 0.402 0.906 0.079
O6 O 0.416 0.897 0.577
O7 O 0.499 0.499 0.664
O8 O 0.501 0.501 0.336
O9 O 0.584 0.103 0.423
O10 O 0.598 0.094 0.921
O11 O 0.897 0.416 0.577
O12 O 0.906 0.402 0.079
# **Symmetry**: No. 12
# **Final energy**: -142.393 eV/cell
# **M_tot**: 2.99 Bohr magnetons per cell


12.
# Ac2Tb3DyY6 (GGA-PBE, relaxed)
data_Ac2Tb3DyY6
_chemical_formula_sum 'Ac2 Tb3 Dy1 Y6'
_cell_length_a 6.322
_cell_length_b 6.322
_cell_length_c 11.948
_cell_angle_alpha 95.05
_cell_angle_beta 95.05
_cell_angle_gamma 119.98
_symmetry_space_group_name_H-M 'P 1'
_symmetry_Int_Tables_number 1
_symmetry_space_group_name_Hall 'P 1'
loop_
_atom_site_label
_atom_site_type_symbol
_atom_site_fract_x
_atom_site_fract_y
_atom_site_fract_z
Ac1 Ac 0.167 0.833 0.000
Ac2 Ac 0.833 0.167 0.000
Tb1 Tb 0.000 0.000 0.500
Tb2 Tb 0.333 0.667 0.500
Tb3 Tb 0.667 0.333 0.500
Dy1 Dy 0.500 0.500 0.000
Y1 Y 0.084 0.415 0.743
Y2 Y 0.255 0.255 0.257
Y3 Y 0.415 0.084 0.743
Y4 Y 0.585 0.916 0.257
Y5 Y 0.745 0.745 0.743
Y6 Y 0.916 0.585 0.257
# **Symmetry**: No. 12
# **Final energy**: -65.026 eV/cell
# **M_tot**: 0.00 Bohr magnetons per cell


13.
# SrGaF3 (GGA-PBE, relaxed)
data_SrGaF3
_chemical_formula_sum 'Sr1 Ga1 F3'
_cell_length_a 4.737
_cell_length_b 4.737
_cell_length_c 4.737
_cell_angle_alpha 90.00
_cell_angle_beta 90.00
_cell_angle_gamma 90.00
_symmetry_space_group_name_H-M 'P 1'
_symmetry_Int_Tables_number 1
_symmetry_space_group_name_Hall 'P 1'
loop_
_atom_site_label
_atom_site_type_symbol
_atom_site_fract_x
_atom_site_fract_y
_atom_site_fract_z
Sr1 Sr 0.000 0.000 0.000
Ga1 Ga 0.500 0.500 0.500
F1 F 0.000 0.000 0.500
F2 F 0.000 0.500 0.000
F3 F 0.500 0.000 0.000
# **Symmetry**: No. 221
# **Polymorph energy (0 for the lowest one)**: 0.000 eV/atom
# **M_tot**: 0.00 Bohr magnetons per cell


14.
# La2ReW (GGA-PBE, relaxed)
data_La2ReW
_chemical_formula_sum 'La2 Re1 W1'
_cell_length_a 2.864
_cell_length_b 2.864
_cell_length_c 10.641
_cell_angle_alpha 90.00
_cell_angle_beta 90.00
_cell_angle_gamma 90.00
_symmetry_space_group_name_H-M 'P 1'
_symmetry_Int_Tables_number 1
_symmetry_space_group_name_Hall 'P 1'
loop_
_atom_site_label
_atom_site_type_symbol
_atom_site_fract_x
_atom_site_fract_y
_atom_site_fract_z
La1 La 0.000 0.000 0.245
La2 La 0.000 0.000 0.755
Re1 Re 0.500 0.500 0.000
W1 W 0.500 0.500 0.500
# **Symmetry**: No. 123
# **Polymorph energy (0 for the lowest one)**: 0.687 eV/atom
# **M_tot**: 0.00 Bohr magnetons per cell


15.
# TaSb2As (GGA-PBE, relaxed)
data_TaSb2As
_chemical_formula_sum 'Ta1 Sb2 As1'
_cell_length_a 5.582
_cell_length_b 5.582
_cell_length_c 5.582
_cell_angle_alpha 134.66
_cell_angle_beta 134.66
_cell_angle_gamma 66.05
_symmetry_space_group_name_H-M 'P 1'
_symmetry_Int_Tables_number 1
_symmetry_space_group_name_Hall 'P 1'
loop_
_atom_site_label
_atom_site_type_symbol
_atom_site_fract_x
_atom_site_fract_y
_atom_site_fract_z
Ta1 Ta 0.000 0.000 0.000
Sb1 Sb 0.500 0.500 0.000
Sb2 Sb 0.750 0.250 0.500
As1 As 0.250 0.750 0.500
# **Symmetry**: No. 119
# **Final energy**: -22.794 eV/cell
# **M_tot**: 0.00 Bohr magnetons per cell


16.
# YMnFe4 (GGA-PBE, relaxed)
data_YMnFe4
_chemical_formula_sum 'Y1 Mn1 Fe4'
_cell_length_a 4.938
_cell_length_b 4.938
_cell_length_c 4.938
_cell_angle_alpha 60.00
_cell_angle_beta 60.00
_cell_angle_gamma 60.00
_symmetry_space_group_name_H-M 'P 1'
_symmetry_Int_Tables_number 1
_symmetry_space_group_name_Hall 'P 1'
loop_
_atom_site_label
_atom_site_type_symbol
_atom_site_fract_x
_atom_site_fract_y
_atom_site_fract_z
Y1 Y 0.000 0.000 0.000
Mn1 Mn 0.750 0.750 0.750
Fe1 Fe 0.376 0.376 0.376
Fe2 Fe 0.376 0.376 0.872
Fe3 Fe 0.376 0.872 0.376
Fe4 Fe 0.872 0.376 0.376
# **Symmetry**: No. 216
# **Final energy**: -49.125 eV/cell
# **M_tot**: 10.72 Bohr magnetons per cell


17.
# MgAgRh (GGA-PBE, relaxed)
data_MgAgRh
_chemical_formula_sum 'Mg2 Ag2 Rh2'
_cell_length_a 5.029
_cell_length_b 5.029
_cell_length_c 4.887
_cell_angle_alpha 98.75
_cell_angle_beta 98.75
_cell_angle_gamma 122.76
_symmetry_space_group_name_H-M 'P 1'
_symmetry_Int_Tables_number 1
_symmetry_space_group_name_Hall 'P 1'
loop_
_atom_site_label
_atom_site_type_symbol
_atom_site_fract_x
_atom_site_fract_y
_atom_site_fract_z
Mg1 Mg 0.096 0.904 0.750
Mg2 Mg 0.904 0.096 0.250
Ag1 Ag 0.248 0.752 0.250
Ag2 Ag 0.752 0.248 0.750
Rh1 Rh 0.431 0.569 0.750
Rh2 Rh 0.569 0.431 0.250
# **Symmetry**: No. 15
# **Polymorph energy (0 for the lowest one)**: 0.037 eV/atom
# **M_tot**: 0.00 Bohr magnetons per cell


18.
# BaHg2AsPd (GGA-PBE, relaxed)
data_BaHg2AsPd
_chemical_formula_sum 'Ba1 Hg2 As1 Pd1'
_cell_length_a 5.249
_cell_length_b 5.249
_cell_length_c 5.148
_cell_angle_alpha 90.00
_cell_angle_beta 90.00
_cell_angle_gamma 90.00
_symmetry_space_group_name_H-M 'P 1'
_symmetry_Int_Tables_number 1
_symmetry_space_group_name_Hall 'P 1'
loop_
_atom_site_label
_atom_site_type_symbol
_atom_site_fract_x
_atom_site_fract_y
_atom_site_fract_z
Ba1 Ba 0.000 0.000 0.000
Hg1 Hg 0.000 0.500 0.500
Hg2 Hg 0.500 0.000 0.500
As1 As 0.500 0.500 0.000
Pd1 Pd 0.500 0.500 0.500
# **Symmetry**: No. 123
# **Final energy**: -14.195 eV/cell
# **M_tot**: 0.00 Bohr magnetons per cell


19.
# Ti4Al2CN (GGA-PBE, relaxed)
data_Ti4Al2CN
_chemical_formula_sum 'Ti4 Al2 C1 N1'
_cell_length_a 3.038
_cell_length_b 3.038
_cell_length_c 13.649
_cell_angle_alpha 90.00
_cell_angle_beta 90.00
_cell_angle_gamma 120.00
_symmetry_space_group_name_H-M 'P 1'
_symmetry_Int_Tables_number 1
_symmetry_space_group_name_Hall 'P 1'
loop_
_atom_site_label
_atom_site_type_symbol
_atom_site_fract_x
_atom_site_fract_y
_atom_site_fract_z
Ti1 Ti 0.333 0.667 0.084
Ti2 Ti 0.333 0.667 0.415
Ti3 Ti 0.667 0.333 0.585
Ti4 Ti 0.667 0.333 0.916
Al1 Al 0.333 0.667 0.752
Al2 Al 0.667 0.333 0.248
C1 C 0.000 0.000 0.500
N1 N 0.000 0.000 0.000
# **Symmetry**: No. 164
# **Final energy**: -64.079 eV/cell
# **M_tot**: 0.00 Bohr magnetons per cell


20.
# Nd2SiBiO6 (GGA-PBE, relaxed)
data_Nd2SiBiO6
_chemical_formula_sum 'Nd2 Si1 Bi1 O6'
_cell_length_a 5.384
_cell_length_b 5.384
_cell_length_c 5.267
_cell_angle_alpha 90.00
_cell_angle_beta 90.00
_cell_angle_gamma 90.00
_symmetry_space_group_name_H-M 'P 1'
_symmetry_Int_Tables_number 1
_symmetry_space_group_name_Hall 'P 1'
loop_
_atom_site_label
_atom_site_type_symbol
_atom_site_fract_x
_atom_site_fract_y
_atom_site_fract_z
Nd1 Nd 0.000 0.500 0.000
Nd2 Nd 0.500 0.000 0.000
Si1 Si 0.000 0.000 0.624
Bi1 Bi 0.500 0.500 0.515
O1 O 0.000 0.000 0.306
O2 O 0.220 0.220 0.740
O3 O 0.220 0.780 0.740
O4 O 0.500 0.500 0.089
O5 O 0.780 0.220 0.740
O6 O 0.780 0.780 0.740
# **Symmetry**: No. 99
# **Final energy**: -72.482 eV/cell
# **M_tot**: 0.00 Bohr magnetons per cell